[1]
Material: Li3Y2Tl3
Method: DFT, PBE-GGA
State: relaxed

```
Li3Y2Tl3
1.0
-4.128 3.048 -3.999
-0.661 -7.260 -4.852
-6.164 -5.944 1.832
Li Y Tl
6 4 6
Cartesian
-4.796 0.646 -2.494
-7.742 -4.021 -3.011
-3.574 -2.972 -6.513
-6.157 -10.803 -4.525
-3.210 -6.135 -4.008
-1.214 -1.241 -2.338
-2.275 -4.402 -1.007
-6.614 -7.279 -4.013
-4.550 -8.803 -2.014
-4.339 -2.878 -3.006
-6.955 -1.436 -1.852
-5.814 -4.482 -5.352
-3.343 -0.429 -4.813
-3.337 -1.461 -0.315
-5.138 -5.674 -1.667
-1.445 -3.784 -4.037
```

Summary:
The value obtained for the spin magnetization is 0.000 μB per atom. The density of states at the Fermi level is 6.76 states/eV/f.u. The space group is P6_3/mcm, No. 193. For the calculated volume, the calculation gives 432.03 Å³/cell. The total energy comes out at -3.41 eV per atom.

---

[2]
Material: Li2YTl
Method: DFT, PBE-GGA
State: relaxed

```
Li2YTl
1.0
3.707 0.000 0.000
0.000 3.716 0.000
0.000 0.000 6.679
Li Tl Y
2 1 1
Cartesian
0.000 0.000 0.258
0.000 0.000 3.082
1.853 1.858 1.670
1.853 1.858 5.010
```

Summary:
The value obtained for the spin magnetization is 0.000 μB per atom. The density of states at the Fermi level is 2.54 states/eV/f.u. The space group is P4/mmm, No. 123. For the calculated volume, the calculation gives 92.02 Å³/cell. The total energy comes out at -3.25 eV per atom.

---

[3]
Material: Li4YTl2
Method: DFT, PBE-GGA
State: relaxed

```
Li4YTl2
1.0
4.768 0.000 0.000
0.000 7.895 0.000
0.000 0.000 7.895
Li Y Tl
8 2 4
Cartesian
0.000 0.841 2.822
0.000 7.054 5.074
2.384 1.126 4.789
2.384 6.769 3.106
2.384 3.106 6.769
2.384 4.789 1.126
0.000 2.822 0.841
0.000 5.074 7.054
2.384 0.000 0.000
0.000 3.948 3.948
0.000 1.641 6.255
0.000 6.255 1.641
2.384 5.588 5.588
2.384 2.307 2.307
```

Summary:
The value obtained for the spin magnetization is 0.000 μB per atom. The density of states at the Fermi level is 4.36 states/eV/f.u. The space group is P4_2/mnm, No. 136. For the calculated volume, the calculation gives 297.19 Å³/cell. The total energy comes out at -2.91 eV per atom.

---

[4]
Material: Li2YTl
Method: DFT, PBE-GGA
State: relaxed

```
Li2YTl
1.0
5.031 0.027 -0.006
-0.004 5.031 0.009
-2.505 -2.535 3.545
Y Tl Li
1 1 2
Cartesian
0.001 2.512 1.777
2.514 2.529 0.001
2.519 2.522 3.547
2.520 0.011 1.770
```

Summary:
The value obtained for the spin magnetization is 0.000 μB per atom. The density of states at the Fermi level is 1.72 states/eV/f.u. The space group is F222, No. 22. For the calculated volume, the calculation gives 89.73 Å³/cell. The total energy comes out at -3.39 eV per atom.

---

[5]
Material: LiYTl3
Method: DFT, PBE-GGA
State: relaxed

```
LiYTl3
1.0
5.057 0.000 0.000
0.000 5.057 0.000
0.000 0.000 5.057
Y Tl Li
1 3 1
Cartesian
2.528 2.528 2.528
0.000 2.528 0.000
0.000 0.000 2.528
2.528 0.000 0.000
0.000 0.000 0.000
```

Summary:
The value obtained for the spin magnetization is 0.000 μB per atom. The density of states at the Fermi level is 3.76 states/eV/f.u. The space group is Pm-3m, No. 221. For the calculated volume, the calculation gives 129.29 Å³/cell. The total energy comes out at -3.12 eV per atom.

---

[6]
Material: Li2YTl4
Method: DFT, PBE-GGA
State: relaxed

```
Li2YTl4
1.0
-2.533 4.225 -0.542
-2.009 2.210 3.955
5.480 6.482 2.266
Li Y Tl
2 1 4
Cartesian
0.762 9.724 4.268
0.177 3.193 1.410
0.000 0.000 0.000
-1.754 8.164 3.862
2.693 4.754 1.816
-1.890 4.996 2.458
2.829 7.922 3.220
```

Summary:
The value obtained for the spin magnetization is 0.000 μB per atom. The density of states at the Fermi level is 3.46 states/eV/f.u. The space group is R-3m, No. 166. For the calculated volume, the calculation gives 176.68 Å³/cell. The total energy comes out at -3.03 eV per atom.

---

[7]
Material: LiY2Tl
Method: DFT, PBE-GGA
State: relaxed

```
LiY2Tl
1.0
0.000 3.742 3.742
3.742 0.000 3.742
3.742 3.742 0.000
Y Tl Li
2 1 1
Cartesian
1.871 1.871 1.871
5.613 5.613 5.613
3.742 3.742 3.742
0.000 0.000 0.000
```

Summary:
The value obtained for the spin magnetization is 0.000 μB per atom. The density of states at the Fermi level is 3.49 states/eV/f.u. The space group is Fm-3m, No. 225. For the calculated volume, the calculation gives 104.78 Å³/cell. The total energy comes out at -4.54 eV per atom.

---

[8]
Material: LiY5Tl4
Method: DFT, PBE-GGA
State: relaxed

```
LiY5Tl4
1.0
-0.808 -2.072 2.901
0.363 -3.007 -2.047
19.561 -0.907 4.803
Li Y Tl
1 5 4
Cartesian
0.000 0.000 0.000
1.584 -2.623 0.870
5.526 -2.806 1.838
9.558 -2.993 2.828
13.590 -3.180 3.818
17.533 -3.362 4.786
3.713 -0.172 0.912
7.760 -0.360 1.905
11.801 -0.547 2.898
15.849 -0.734 3.891
```

Summary:
The value obtained for the spin magnetization is 0.010 μB per atom. The density of states at the Fermi level is 6.40 states/eV/f.u. The space group is P4/mmm, No. 123. For the calculated volume, the calculation gives 269.38 Å³/cell. The total energy comes out at -4.67 eV per atom.